Entry 1:
{"formula": "Ac12Er5Bi3", "functional": "GGA-PBE", "state": "optimized geometry", "lattice_angstrom": [[-9.8495, 9.8495, 9.8495], [9.8495, -9.8495, 9.8495], [9.8495, 9.8495, -9.8495]], "species": ["Ac", "Ac", "Ac", "Ac", "Ac", "Ac", "Ac", "Ac", "Ac", "Ac", "Ac", "Ac", "Ac", "Ac", "Ac", "Ac", "Ac", "Ac", "Ac", "Ac", "Ac", "Ac", "Ac", "Ac", "Ac", "Ac", "Ac", "Ac", "Ac", "Ac", "Ac", "Ac", "Ac", "Ac", "Ac", "Ac", "Ac", "Ac", "Ac", "Ac", "Ac", "Ac", "Ac", "Ac", "Ac", "Ac", "Ac", "Ac", "Er", "Er", "Er", "Er", "Er", "Er", "Er", "Er", "Er", "Er", "Er", "Er", "Er", "Er", "Er", "Er", "Er", "Er", "Er", "Er", "Bi", "Bi", "Bi", "Bi", "Bi", "Bi", "Bi", "Bi", "Bi", "Bi", "Bi", "Bi"], "fractional_positions": [[0.0641, 0.2273, 0.1371], [0.0641, 0.3368, 0.9270], [0.0730, 0.6371, 0.4098], [0.0730, 0.9359, 0.6632], [0.0902, 0.7273, 0.6632], [0.0902, 0.8629, 0.4270], [0.1371, 0.0641, 0.2273], [0.1371, 0.5730, 0.9098], [0.1632, 0.2273, 0.5902], [0.1632, 0.4359, 0.5730], [0.2273, 0.1371, 0.0641], [0.2273, 0.5902, 0.1632], [0.2727, 0.3368, 0.9098], [0.2727, 0.4359, 0.3629], [0.3368, 0.9098, 0.2727], [0.3368, 0.9270, 0.0641], [0.3629, 0.2727, 0.4359], [0.3629, 0.5902, 0.9270], [0.4098, 0.0730, 0.6371], [0.4098, 0.8368, 0.7727], [0.4270, 0.0902, 0.8629], [0.4270, 0.8368, 0.5641], [0.4359, 0.3629, 0.2727], [0.4359, 0.5730, 0.1632], [0.5641, 0.4270, 0.8368], [0.5641, 0.6371, 0.7273], [0.5730, 0.1632, 0.4359], [0.5730, 0.9098, 0.1371], [0.5902, 0.1632, 0.2273], [0.5902, 0.9270, 0.3629], [0.6371, 0.4098, 0.0730], [0.6371, 0.7273, 0.5641], [0.6632, 0.0730, 0.9359], [0.6632, 0.0902, 0.7273], [0.7273, 0.5641, 0.6371], [0.7273, 0.6632, 0.0902], [0.7727, 0.4098, 0.8368], [0.7727, 0.8629, 0.9359], [0.8368, 0.5641, 0.4270], [0.8368, 0.7727, 0.4098], [0.8629, 0.4270, 0.0902], [0.8629, 0.9359, 0.7727], [0.9098, 0.1371, 0.5730], [0.9098, 0.2727, 0.3368], [0.9270, 0.0641, 0.3368], [0.9270, 0.3629, 0.5902], [0.9359, 0.6632, 0.0730], [0.9359, 0.7727, 0.8629], [0.0000, 0.0000, 0.0000], [0.0000, 0.0000, 0.5000], [0.0000, 0.5000, 0.0000], [0.0000, 0.5000, 0.5000], [0.1250, 0.7500, 0.8750], [0.1250, 0.8750, 0.2500], [0.2500, 0.1250, 0.8750], [0.2500, 0.6250, 0.3750], [0.3750, 0.2500, 0.6250], [0.3750, 0.6250, 0.7500], [0.5000, 0.0000, 0.0000], [0.5000, 0.0000, 0.5000], [0.5000, 0.5000, 0.0000], [0.5000, 0.5000, 0.5000], [0.6250, 0.3750, 0.2500], [0.6250, 0.7500, 0.3750], [0.7500, 0.3750, 0.6250], [0.7500, 0.8750, 0.1250], [0.8750, 0.1250, 0.7500], [0.8750, 0.2500, 0.1250], [0.1250, 0.2500, 0.3750], [0.1250, 0.3750, 0.7500], [0.2500, 0.3750, 0.1250], [0.2500, 0.8750, 0.6250], [0.3750, 0.1250, 0.2500], [0.3750, 0.7500, 0.1250], [0.6250, 0.2500, 0.8750], [0.6250, 0.8750, 0.7500], [0.7500, 0.1250, 0.3750], [0.7500, 0.6250, 0.8750], [0.8750, 0.6250, 0.2500], [0.8750, 0.7500, 0.6250]], "formation_energy_ev_per_atom": 0.5595, "mass_density_g_cm3": 7.3, "spacegroup": "No. 230", "total_magnetization_mub_per_atom": 0.000, "energy_ev_per_atom": -3.628, "dos_ef_per_ev_cell": 126.00}

Entry 2:
{"formula": "TaHgTe2", "functional": "GGA-PBE", "state": "optimized geometry", "lattice_angstrom": [[0.0000, 3.6334, 3.6334], [3.6334, 0.0000, 3.6334], [3.6334, 3.6334, 0.0000]], "species": ["Ta", "Hg", "Te", "Te"], "fractional_positions": [[0.0000, 0.0000, 0.0000], [0.2500, 0.2500, 0.2500], [0.5000, 0.5000, 0.5000], [0.7500, 0.7500, 0.7500]], "mass_density_g_cm3": 11.0, "spacegroup": "No. 216", "total_magnetization_mub_per_atom": 0.285, "energy_ev_per_atom": -3.865, "dos_ef_per_ev_cell": 3.66}